(1)
VASP calculation (PBE-GGA) on a geometry-optimized Ce4ErHg5 structure.

Structure (CIF):
```
data_Ce4ErHg5
_chemical_formula_sum 'Ce4 Er1 Hg5'
_symmetry_space_group_name_H-M 'P 4/m m m'
_symmetry_Int_Tables_number 123
_symmetry_space_group_name_Hall '-P 4 2'
_cell_length_a 3.493
_cell_length_b 3.493
_cell_length_c 21.781
_cell_angle_alpha 90.00
_cell_angle_beta 90.00
_cell_angle_gamma 90.00
loop_
_atom_site_label
_atom_site_type_symbol
_atom_site_fract_x
_atom_site_fract_y
_atom_site_fract_z
Ce1 Ce 0.000 0.000 0.102
Ce2 Ce 0.000 0.000 0.306
Er1 Er 0.000 0.000 0.500
Hg1 Hg 0.500 0.500 0.000
Hg2 Hg 0.500 0.500 0.204
Hg3 Hg 0.500 0.500 0.409
```

## Properties
Its density of states at the Fermi level is 28.81 states/eV/f.u. The calculation puts the energy relative to the elements at -3.30 eV per formula unit. For the total energy, the calculation gives -3.311 eV/atom.

---

(2)
VASP calculation (PBE-GGA) on a geometry-optimized Li2LaMg structure.

Structure (CIF):
```
data_Li2LaMg
_chemical_formula_sum 'Li2 La1 Mg1'
_symmetry_space_group_name_H-M 'P 4/m m m'
_symmetry_Int_Tables_number 123
_symmetry_space_group_name_Hall '-P 4 2'
_cell_length_a 3.584
_cell_length_b 3.584
_cell_length_c 7.698
_cell_angle_alpha 90.00
_cell_angle_beta 90.00
_cell_angle_gamma 90.00
loop_
_atom_site_label
_atom_site_type_symbol
_atom_site_fract_x
_atom_site_fract_y
_atom_site_fract_z
Li1 Li 0.000 0.000 0.202
La1 La 0.500 0.500 0.500
Mg1 Mg 0.500 0.500 0.000
```

## Properties
Its density of states at the Fermi level is 3.71 states/eV/f.u. The calculation puts the energy relative to the elements at 0.17 eV per formula unit. For the total energy, the calculation gives -2.544 eV/atom.

---

(3)
VASP calculation (PBE-GGA) on a geometry-optimized HoCuH structure.

Structure (CIF):
```
data_HoCuH
_chemical_formula_sum 'Ho4 Cu4 H4'
_symmetry_space_group_name_H-M 'P 1 21/c 1'
_symmetry_Int_Tables_number 14
_symmetry_space_group_name_Hall '-P 2ybc'
_cell_length_a 6.024
_cell_length_b 6.584
_cell_length_c 4.611
_cell_angle_alpha 90.00
_cell_angle_beta 112.41
_cell_angle_gamma 90.00
loop_
_atom_site_label
_atom_site_type_symbol
_atom_site_fract_x
_atom_site_fract_y
_atom_site_fract_z
Ho1 Ho 0.216 0.071 0.357
Cu1 Cu 0.352 0.660 0.425
H1 H 0.159 0.064 0.829
```

## Properties
Its density of states at the Fermi level is 0.63 states/eV/f.u. For the total energy, the calculation gives -4.345 eV/atom.

---

(4)
VASP calculation (PBE-GGA) on a geometry-optimized SrDy2ErS4 structure.

Structure (CIF):
```
data_SrDy2ErS4
_chemical_formula_sum 'Sr1 Dy2 Er1 S4'
_symmetry_space_group_name_H-M 'P 1 2/m 1'
_symmetry_Int_Tables_number 10
_symmetry_space_group_name_Hall '-P 2y'
_cell_length_a 6.890
_cell_length_b 3.950
_cell_length_c 6.890
_cell_angle_alpha 90.00
_cell_angle_beta 109.07
_cell_angle_gamma 90.00
loop_
_atom_site_label
_atom_site_type_symbol
_atom_site_fract_x
_atom_site_fract_y
_atom_site_fract_z
Sr1 Sr 0.000 0.000 0.000
Dy1 Dy 0.500 0.000 0.500
Dy2 Dy 0.500 0.500 0.000
Er1 Er 0.000 0.500 0.500
S1 S 0.253 0.000 0.742
S2 S 0.261 0.500 0.264
```

## Properties
Its density of states at the Fermi level is 2.60 states/eV/f.u. For the total energy, the calculation gives -5.972 eV/atom. The calculation puts the uncorrected formation energy at -1.977 eV/atom.

---

(5)
VASP calculation (PBE-GGA) on a geometry-optimized AlBiB2 structure.

Structure (CIF):
```
data_AlBiB2
_chemical_formula_sum 'Al4 Bi4 B8'
_symmetry_space_group_name_H-M 'F m -3 m'
_symmetry_Int_Tables_number 225
_symmetry_space_group_name_Hall '-F 4 2 3'
_cell_length_a 6.293
_cell_length_b 6.293
_cell_length_c 6.293
_cell_angle_alpha 90.00
_cell_angle_beta 90.00
_cell_angle_gamma 90.00
loop_
_atom_site_label
_atom_site_type_symbol
_atom_site_fract_x
_atom_site_fract_y
_atom_site_fract_z
Al1 Al 0.000 0.000 0.000
Bi1 Bi 0.000 0.000 0.500
B1 B 0.250 0.250 0.250
```

## Properties
Its density of states at the Fermi level is 2.24 states/eV/f.u. The calculation puts the energy relative to the elements at 5.80 eV per formula unit. For the total energy, the calculation gives -3.795 eV/atom.

---

(6)
VASP calculation (PBE-GGA) on a geometry-optimized KSc3Fe structure.

Structure (CIF):
```
data_KSc3Fe
_chemical_formula_sum 'K1 Sc3 Fe1'
_symmetry_space_group_name_H-M 'P m -3 m'
_symmetry_Int_Tables_number 221
_symmetry_space_group_name_Hall '-P 4 2 3'
_cell_length_a 4.734
_cell_length_b 4.734
_cell_length_c 4.734
_cell_angle_alpha 90.00
_cell_angle_beta 90.00
_cell_angle_gamma 90.00
loop_
_atom_site_label
_atom_site_type_symbol
_atom_site_fract_x
_atom_site_fract_y
_atom_site_fract_z
K1 K 0.000 0.000 0.000
Sc1 Sc 0.000 0.000 0.500
Fe1 Fe 0.500 0.500 0.500
```

## Properties
Its density of states at the Fermi level is 8.57 states/eV/f.u. The calculation puts the energy relative to the elements at 9.42 eV per formula unit. For the total energy, the calculation gives -3.827 eV/atom.

---

Repeat the fifth record exactly.
VASP calculation (PBE-GGA) on a geometry-optimized AlBiB2 structure.

Structure (CIF):
```
data_AlBiB2
_chemical_formula_sum 'Al4 Bi4 B8'
_symmetry_space_group_name_H-M 'F m -3 m'
_symmetry_Int_Tables_number 225
_symmetry_space_group_name_Hall '-F 4 2 3'
_cell_length_a 6.293
_cell_length_b 6.293
_cell_length_c 6.293
_cell_angle_alpha 90.00
_cell_angle_beta 90.00
_cell_angle_gamma 90.00
loop_
_atom_site_label
_atom_site_type_symbol
_atom_site_fract_x
_atom_site_fract_y
_atom_site_fract_z
Al1 Al 0.000 0.000 0.000
Bi1 Bi 0.000 0.000 0.500
B1 B 0.250 0.250 0.250
```

## Properties
Its density of states at the Fermi level is 2.24 states/eV/f.u. The calculation puts the energy relative to the elements at 5.80 eV per formula unit. For the total energy, the calculation gives -3.795 eV/atom.